No. 1
# Nd6Sm3Dy

A geometry-optimized Nd6Sm3Dy structure (GGA-PBE, the Alexandria database).

Computed properties:
Calculated total energy ... -184.02 eV for the cell shown
Energy of formation ... 0.136 eV/atom
Energy relative to the lowest polymorph listed for this composition ... 0 meV/atom

Cell: 11.0225 19.3763 6.4893 Å, 90.00 90.00 90.00°
With the nearest neighbours (Å) after each atom.
Space group Cmc2_1 (No. 36)
Symmetry-distinct sites (fractional):
Nd (0.0000, 0.0348, 0.0000) x4  1 Dy 3.45, 4 Nd 3.51-3.85, 4 Sm 3.56-3.61
Nd (0.0000, 0.2783, 0.2139) x4  4 Nd 3.17-3.53, 1 Dy 3.43, 1 Sm 3.47
Nd (0.1698, 0.4587, 0.3092) x8  4 Sm 3.48-3.87, 5 Nd 3.53-3.85
Nd (0.2331, 0.2914, 0.4965) x8  3 Nd 3.17-3.53, 2 Sm 3.34-3.50, 1 Dy 3.36
Sm (0.0000, 0.3842, 0.7822) x4  7 Nd 3.47-3.87, 2 Sm 3.68, 1 Dy 3.72
Sm (0.1736, 0.1167, 0.4024) x8  1 Dy 3.31, 6 Nd 3.34-3.61, 1 Sm 3.68
Dy (0.0000, 0.1924, 0.7517) x4  2 Sm 3.31, 6 Nd 3.36-3.61

No. 2
# Nd4SmDy5

A geometry-optimized Nd4SmDy5 structure (GGA-PBE, the Alexandria database).

Computed properties:
Calculated total energy ... -89.83 eV for the cell shown
Energy of formation ... 0.188 eV/atom
Energy relative to the lowest polymorph listed for this composition ... 0 meV/atom

Cell: 17.2804 3.5520 11.2793 Å, 90.00 90.11 90.00°
With the nearest neighbours (Å) after each atom.
Space group C2/m (No. 12)
Symmetry-distinct sites (fractional):
Nd (0.0313, 0.0000, 0.2488) x4  4 Dy 3.33-3.36, 2 Sm 3.39, 4 Nd 3.55-3.70
Nd (0.1564, 0.5000, 0.7499) x4  4 Nd 3.55-3.70, 7 Dy 3.68-3.91, 1 Sm 3.90
Sm (0.0000, 0.5000, 0.5000) x2  4 Nd 3.39, 4 Dy 3.54, 2 Sm 3.55
Dy (0.0000, 0.5000, 0.0000) x2  4 Nd 3.36, 6 Dy 3.52-3.55
Dy (0.1732, 0.0000, 0.0494) x4  2 Nd 3.33-3.71, 6 Dy 3.38-3.55
Dy (0.1742, 0.0000, 0.4480) x4  2 Nd 3.33-3.68, 4 Dy 3.38-3.55, 2 Sm 3.54

No. 3
# NdSm5Dy2

A geometry-optimized NdSm5Dy2 structure (GGA-PBE, the Alexandria database).

Computed properties:
Calculated total energy ... -73.10 eV for the cell shown
Energy of formation ... 0.127 eV/atom
Energy relative to the lowest polymorph listed for this composition ... 112 meV/atom

Cell: 6.6605 8.9741 9.6976 Å, 87.64 83.49 68.24°
With the nearest neighbours (Å) after each atom.
Space group P-1 (No. 2)
Symmetry-distinct sites (fractional):
Nd (0.0394, 0.4215, 0.2501) x2  4 Dy 3.42-3.69, 8 Sm 3.51-3.77
Sm (0.0304, 0.0119, 0.3391) x2  3 Sm 3.11-3.17, 1 Dy 3.36
Sm (0.0324, 0.7910, 0.0483) x2  5 Sm 3.46-3.85, 3 Dy 3.54-3.78, 2 Nd 3.70-3.77
Sm (0.3229, 0.2087, 0.5480) x2  5 Sm 3.46-3.84, 3 Dy 3.54-3.79, 2 Nd 3.70-3.77
Sm (0.3935, 0.7131, 0.7503) x2  4 Sm 3.17-3.46, 4 Dy 3.39-3.53, 2 Nd 3.51-3.52
Sm (0.4581, 0.0113, 0.1609) x2  3 Sm 3.11-3.17, 1 Dy 3.35
Dy (0.2772, 0.6254, 0.4242) x2  5 Sm 3.36-3.69, 2 Nd 3.42-3.69, 1 Dy 3.44
Dy (0.4017, 0.3751, 0.9240) x2  5 Sm 3.35-3.69, 2 Nd 3.42-3.69, 1 Dy 3.43

No. 4
# Nd6SmDy

A geometry-optimized Nd6SmDy structure (GGA-PBE, the Alexandria database).

Computed properties:
Calculated total energy ... -37.81 eV for the cell shown
Energy of formation ... 0.015 eV/atom

Cell: 5.1695 5.1695 10.3391 Å, 90.00 90.00 90.00°
With the nearest neighbours (Å) after each atom.
Space group P4/mmm (No. 123)
Symmetry-distinct sites (fractional):
Nd (0.0000, 0.0000, 0.0000) x1  8 Nd 3.65, 4 Dy 3.66
Nd (0.0000, 0.0000, 0.5000) x1  4 Sm 3.66, 8 Nd 3.67
Nd (0.0000, 0.5000, 0.2487) x4  2 Dy 3.65, 8 Nd 3.65-3.67, 2 Sm 3.67
Sm (0.5000, 0.5000, 0.5000) x1  12 Nd 3.66-3.67
Dy (0.5000, 0.5000, 0.0000) x1  12 Nd 3.65-3.66

No. 5
# Nd3Sm4Dy4

A geometry-optimized Nd3Sm4Dy4 structure (GGA-PBE, the Alexandria database).

Computed properties:
Calculated total energy ... -99.40 eV for the cell shown
Energy of formation ... 0.171 eV/atom
Energy relative to the lowest polymorph listed for this composition ... 19 meV/atom

Cell: 3.5818 11.3026 18.7371 Å, 90.00 90.00 90.00°
With the nearest neighbours (Å) after each atom.
Space group Immm (No. 71)
Symmetry-distinct sites (fractional):
Nd (0.0000, 0.0000, 0.0000) x2  2 Nd 3.58, 4 Dy 3.70
Nd (0.0000, 0.5000, 0.1025) x4  6 Dy 3.56-3.58, 3 Nd 3.58-3.84, 4 Sm 3.72
Sm (0.0000, 0.2662, 0.3311) x8  4 Dy 3.22-3.54, 4 Sm 3.55-3.58
Dy (0.0000, 0.0000, 0.2318) x4  6 Sm 3.40-3.54, 2 Dy 3.58, 2 Nd 3.58
Dy (0.0000, 0.2133, 0.5000) x4  2 Sm 3.22, 4 Nd 3.56, 2 Dy 3.58

No. 6
# Nd2Sm5Dy4

A geometry-optimized Nd2Sm5Dy4 structure (GGA-PBE, the Alexandria database).

Computed properties:
Calculated total energy ... -98.93 eV for the cell shown
Energy of formation ... 0.189 eV/atom
Energy relative to the lowest polymorph listed for this composition ... 172 meV/atom

Cell: 3.5326 9.1580 23.5126 Å, 90.00 90.00 90.00°
With the nearest neighbours (Å) after each atom.
Space group Immm (No. 71)
Symmetry-distinct sites (fractional):
Nd (0.0000, 0.0000, 0.2317) x4  1 Dy 3.18, 2 Sm 3.45, 2 Nd 3.53
Sm (0.0000, 0.1973, 0.3567) x8  1 Nd 3.45, 3 Dy 3.47-3.53, 3 Sm 3.53-3.61
Sm (0.0000, 0.5000, 0.0000) x2  4 Dy 3.35, 2 Sm 3.53
Dy (0.0000, 0.0000, 0.0966) x4  1 Nd 3.18, 6 Dy 3.36-3.53, 4 Sm 3.47
Dy (0.0000, 0.3111, 0.5000) x4  4 Sm 3.35-3.53, 7 Dy 3.36-3.53